Entry 1:
{"formula": "Na2CeCl5", "functional": "PBE", "state": "optimized geometry", "lattice": [[7.974, 0.000, 0.000], [0.000, 8.501, 0.000], [0.000, 0.000, 12.144]], "species": ["Na", "Na", "Na", "Na", "Na", "Na", "Na", "Na", "Ce", "Ce", "Ce", "Ce", "Cl", "Cl", "Cl", "Cl", "Cl", "Cl", "Cl", "Cl", "Cl", "Cl", "Cl", "Cl", "Cl", "Cl", "Cl", "Cl", "Cl", "Cl", "Cl", "Cl"], "frac_coords": [[0.495, 0.491, 0.823], [0.505, 0.509, 0.177], [0.995, 0.509, 0.677], [0.505, 0.991, 0.177], [0.005, 0.491, 0.323], [0.495, 0.009, 0.823], [0.005, 0.009, 0.323], [0.995, 0.991, 0.677], [0.412, 0.250, 0.506], [0.588, 0.750, 0.494], [0.912, 0.750, 0.994], [0.088, 0.250, 0.006], [0.055, 0.250, 0.505], [0.945, 0.750, 0.495], [0.555, 0.750, 0.995], [0.445, 0.250, 0.005], [0.342, 0.953, 0.593], [0.658, 0.047, 0.407], [0.842, 0.047, 0.907], [0.658, 0.453, 0.407], [0.158, 0.953, 0.093], [0.342, 0.547, 0.593], [0.158, 0.547, 0.093], [0.842, 0.453, 0.907], [0.186, 0.250, 0.783], [0.814, 0.750, 0.217], [0.686, 0.750, 0.717], [0.314, 0.250, 0.283], [0.636, 0.250, 0.682], [0.364, 0.750, 0.318], [0.136, 0.750, 0.818], [0.864, 0.250, 0.182]], "n_ef_per_ev_cell": 35.5, "space_group": "Pnma", "e_form_raw_ev_per_fu": -15.9}



Entry 2:
{"formula": "Na3CeCl7", "functional": "PBE", "state": "optimized geometry", "lattice": [[6.340, -0.253, 2.797], [-1.703, 6.112, 2.797], [-0.462, -0.584, 7.507]], "species": ["Na", "Na", "Na", "Ce", "Cl", "Cl", "Cl", "Cl", "Cl", "Cl", "Cl"], "frac_coords": [[0.788, 0.250, 0.476], [0.477, 0.477, 0.083], [0.250, 0.788, 0.476], [0.954, 0.954, 0.020], [0.140, 0.140, 0.199], [0.641, 0.120, 0.212], [0.998, 0.332, 0.728], [0.120, 0.641, 0.212], [0.612, 0.612, 0.333], [0.332, 0.998, 0.728], [0.814, 0.814, 0.783]], "space_group": "Cm", "e_form_raw_ev_per_fu": -20.3}



Entry 3:
{"formula": "NaCeCl3", "functional": "PBE", "state": "optimized geometry", "lattice": [[-3.127, 5.828, -2.800], [-3.395, 1.025, 5.924], [9.335, 3.688, 4.711]], "species": ["Na", "Na", "Na", "Na", "Ce", "Ce", "Ce", "Ce", "Cl", "Cl", "Cl", "Cl", "Cl", "Cl", "Cl", "Cl", "Cl", "Cl", "Cl", "Cl"], "frac_coords": [[0.346, 0.576, 0.103], [0.154, 0.076, 0.397], [0.654, 0.424, 0.897], [0.846, 0.924, 0.603], [0.930, 0.601, 0.287], [0.570, 0.101, 0.213], [0.070, 0.399, 0.713], [0.430, 0.899, 0.787], [0.152, 0.724, 0.549], [0.348, 0.224, 0.951], [0.848, 0.276, 0.451], [0.652, 0.776, 0.049], [0.816, 0.131, 0.802], [0.684, 0.631, 0.698], [0.184, 0.869, 0.198], [0.316, 0.369, 0.302], [0.640, 0.784, 0.380], [0.860, 0.284, 0.120], [0.360, 0.216, 0.620], [0.140, 0.716, 0.880]], "n_ef_per_ev_cell": 29.1, "space_group": "P2_1/c", "e_form_raw_ev_per_fu": -8.8}



Entry 4:
{"formula": "NaCe2Cl6", "functional": "PBE", "state": "optimized geometry", "lattice": [[-7.180, 0.396, -2.982], [-8.570, 2.226, 5.961], [-5.946, 8.849, 0.521]], "species": ["Na", "Na", "Ce", "Ce", "Ce", "Ce", "Cl", "Cl", "Cl", "Cl", "Cl", "Cl", "Cl", "Cl", "Cl", "Cl", "Cl", "Cl"], "frac_coords": [[0.250, 0.354, 0.646], [0.750, 0.646, 0.354], [0.881, 0.752, 0.740], [0.619, 0.260, 0.248], [0.119, 0.248, 0.260], [0.381, 0.740, 0.752], [0.330, 0.614, 0.608], [0.170, 0.392, 0.386], [0.670, 0.386, 0.392], [0.830, 0.608, 0.614], [0.993, 0.982, 0.351], [0.507, 0.649, 0.018], [0.007, 0.018, 0.649], [0.493, 0.351, 0.982], [0.989, 0.652, 0.027], [0.511, 0.973, 0.348], [0.011, 0.348, 0.973], [0.489, 0.027, 0.652]], "n_ef_per_ev_cell": 20.9, "e_above_lowest_polymorph_mev_per_atom": 0.0, "space_group": "C2/c", "e_form_raw_ev_per_fu": -18.5}



Entry 5:
{"formula": "Na5Ce3Cl12", "functional": "PBE", "state": "optimized geometry", "lattice": [[14.236, 0.000, 0.000], [-4.745, 13.422, 0.000], [-4.745, -6.711, 11.623]], "species": ["Ce", "Ce", "Ce", "Ce", "Ce", "Ce", "Ce", "Ce", "Ce", "Ce", "Ce", "Ce", "Na", "Na", "Na", "Na", "Na", "Na", "Na", "Na", "Na", "Na", "Na", "Na", "Na", "Na", "Na", "Na", "Na", "Na", "Na", "Na", "Cl", "Cl", "Cl", "Cl", "Cl", "Cl", "Cl", "Cl", "Cl", "Cl", "Cl", "Cl", "Cl", "Cl", "Cl", "Cl", "Cl", "Cl", "Cl", "Cl", "Cl", "Cl", "Cl", "Cl", "Cl", "Cl", "Cl", "Cl", "Cl", "Cl", "Cl", "Cl", "Cl", "Cl", "Cl", "Cl", "Cl", "Cl", "Cl", "Cl", "Cl", "Cl", "Cl", "Cl", "Cl", "Cl", "Cl", "Cl"], "frac_coords": [[0.750, 0.375, 0.125], [0.875, 0.750, 0.125], [0.375, 0.750, 0.625], [0.250, 0.125, 0.375], [0.875, 0.125, 0.250], [0.375, 0.625, 0.250], [0.625, 0.375, 0.750], [0.125, 0.875, 0.750], [0.750, 0.875, 0.625], [0.625, 0.250, 0.375], [0.125, 0.250, 0.875], [0.250, 0.625, 0.875], [0.125, 0.375, 0.250], [0.000, 0.500, 0.000], [0.000, 0.000, 0.000], [0.375, 0.250, 0.125], [0.500, 0.000, 0.500], [0.500, 0.500, 0.000], [0.125, 0.750, 0.375], [0.750, 0.125, 0.875], [0.750, 0.625, 0.375], [0.375, 0.125, 0.750], [0.625, 0.875, 0.250], [0.500, 0.500, 0.500], [0.500, 0.000, 0.000], [0.000, 0.000, 0.500], [0.250, 0.375, 0.625], [0.250, 0.875, 0.125], [0.000, 0.500, 0.500], [0.875, 0.250, 0.625], [0.625, 0.750, 0.875], [0.875, 0.625, 0.750], [0.722, 0.132, 0.047], [0.325, 0.547, 0.415], [0.953, 0.368, 0.278], [0.547, 0.222, 0.132], [0.591, 0.722, 0.675], [0.953, 0.585, 0.175], [0.325, 0.778, 0.409], [0.085, 0.909, 0.132], [0.585, 0.953, 0.675], [0.722, 0.591, 0.175], [0.778, 0.453, 0.368], [0.825, 0.915, 0.047], [0.132, 0.722, 0.547], [0.368, 0.415, 0.091], [0.091, 0.915, 0.368], [0.409, 0.132, 0.585], [0.091, 0.175, 0.222], [0.453, 0.675, 0.085], [0.825, 0.909, 0.278], [0.132, 0.409, 0.085], [0.368, 0.953, 0.778], [0.585, 0.632, 0.409], [0.915, 0.825, 0.547], [0.778, 0.325, 0.909], [0.415, 0.368, 0.591], [0.085, 0.175, 0.453], [0.222, 0.675, 0.091], [0.175, 0.091, 0.722], [0.632, 0.047, 0.222], [0.868, 0.591, 0.915], [0.547, 0.325, 0.915], [0.591, 0.868, 0.415], [0.909, 0.825, 0.778], [0.909, 0.085, 0.632], [0.868, 0.278, 0.453], [0.175, 0.085, 0.953], [0.632, 0.585, 0.909], [0.415, 0.047, 0.325], [0.278, 0.409, 0.825], [0.222, 0.547, 0.632], [0.915, 0.091, 0.868], [0.675, 0.222, 0.591], [0.453, 0.778, 0.868], [0.047, 0.415, 0.825], [0.409, 0.278, 0.325], [0.047, 0.632, 0.722], [0.675, 0.453, 0.585], [0.278, 0.868, 0.953]], "n_ef_per_ev_cell": 107.3, "space_group": "Ia-3d", "e_form_raw_ev_per_fu": -37.1}



Entry 6:
{"formula": "NaCe2Cl6", "functional": "PBE", "state": "optimized geometry", "lattice": [[6.703, 0.000, 0.000], [0.000, 6.703, 0.000], [0.000, 0.000, 12.709]], "species": ["Na", "Na", "Ce", "Ce", "Ce", "Ce", "Cl", "Cl", "Cl", "Cl", "Cl", "Cl", "Cl", "Cl", "Cl", "Cl", "Cl", "Cl"], "frac_coords": [[0.500, 0.500, 0.000], [0.000, 0.000, 0.500], [0.500, 0.500, 0.340], [0.500, 0.500, 0.660], [0.000, 0.000, 0.160], [0.000, 0.000, 0.840], [0.699, 0.699, 0.169], [0.699, 0.699, 0.831], [0.705, 0.705, 0.500], [0.795, 0.205, 0.000], [0.801, 0.199, 0.331], [0.801, 0.199, 0.669], [0.199, 0.801, 0.331], [0.199, 0.801, 0.669], [0.205, 0.795, 0.000], [0.295, 0.295, 0.500], [0.301, 0.301, 0.169], [0.301, 0.301, 0.831]], "n_ef_per_ev_cell": 30.4, "e_above_lowest_polymorph_mev_per_atom": 26.8, "space_group": "P4_2/mnm", "e_form_raw_ev_per_fu": -18.3}



Entry 7:
{"formula": "Na2CeCl5", "functional": "PBE", "state": "optimized geometry", "lattice": [[-2.584, 4.189, 2.364], [-2.834, -1.549, -6.657], [-9.007, -8.888, 5.902]], "species": ["Na", "Na", "Na", "Na", "Ce", "Ce", "Cl", "Cl", "Cl", "Cl", "Cl", "Cl", "Cl", "Cl", "Cl", "Cl"], "frac_coords": [[0.855, 0.710, 0.447], [0.855, 0.710, 0.053], [0.145, 0.290, 0.553], [0.145, 0.290, 0.947], [0.810, 0.619, 0.750], [0.190, 0.381, 0.250], [0.955, 0.910, 0.879], [0.955, 0.910, 0.621], [0.307, 0.614, 0.415], [0.307, 0.614, 0.085], [0.743, 0.486, 0.250], [0.257, 0.514, 0.750], [0.693, 0.386, 0.585], [0.693, 0.386, 0.915], [0.045, 0.090, 0.121], [0.045, 0.090, 0.379]], "n_ef_per_ev_cell": 15.7, "space_group": "Cmcm", "e_form_raw_ev_per_fu": -15.9}



Entry 8:
{"formula": "NaCe2Cl8", "functional": "PBE", "state": "optimized geometry", "lattice": [[0.422, -1.556, -3.687], [3.835, -6.445, 3.159], [-8.537, -4.279, 3.025]], "species": ["Na", "Ce", "Ce", "Cl", "Cl", "Cl", "Cl", "Cl", "Cl", "Cl", "Cl"], "frac_coords": [[0.500, 0.000, 0.000], [0.157, 0.677, 0.314], [0.843, 0.323, 0.686], [0.606, 0.492, 0.213], [0.353, 0.075, 0.706], [0.234, 0.345, 0.469], [0.023, 0.770, 0.046], [0.766, 0.655, 0.531], [0.647, 0.925, 0.294], [0.394, 0.508, 0.787], [0.977, 0.230, 0.954]], "n_ef_per_ev_cell": 9.6, "e_above_lowest_polymorph_mev_per_atom": 0.0, "space_group": "C2/m", "e_form_raw_ev_per_fu": -22.1}



Entry 9:
{"formula": "NaCe2Cl8", "functional": "PBE", "state": "optimized geometry", "lattice": [[5.523, 0.056, 0.043], [-0.038, 8.874, 0.110], [-0.038, 2.495, 8.516]], "species": ["Na", "Ce", "Ce", "Cl", "Cl", "Cl", "Cl", "Cl", "Cl", "Cl", "Cl"], "frac_coords": [[0.000, 0.000, 0.000], [0.728, 0.760, 0.760], [0.272, 0.240, 0.240], [0.247, 0.295, 0.936], [0.753, 0.064, 0.705], [0.233, 0.777, 0.777], [0.767, 0.223, 0.223], [0.247, 0.936, 0.295], [0.753, 0.705, 0.064], [0.747, 0.585, 0.585], [0.253, 0.415, 0.415]], "n_ef_per_ev_cell": 9.4, "e_above_lowest_polymorph_mev_per_atom": 115.7, "space_group": "C2/m", "e_form_raw_ev_per_fu": -20.9}



Entry 10:
{"formula": "NaCe2Cl7", "functional": "PBE", "state": "optimized geometry", "lattice": [[4.883, 0.000, 0.858], [2.366, 4.271, 0.858], [0.124, 0.073, 13.620]], "species": ["Na", "Ce", "Ce", "Cl", "Cl", "Cl", "Cl", "Cl", "Cl", "Cl"], "frac_coords": [[0.500, 0.500, 0.500], [0.070, 0.070, 0.790], [0.930, 0.930, 0.210], [0.719, 0.719, 0.844], [0.578, 0.578, 0.266], [0.000, 0.000, 0.000], [0.281, 0.281, 0.156], [0.138, 0.138, 0.586], [0.862, 0.862, 0.414], [0.422, 0.422, 0.734]], "n_ef_per_ev_cell": 16.6, "space_group": "R-3m", "e_form_raw_ev_per_fu": -20.8}



Entry 11:
{"formula": "Na2CeCl6", "functional": "PBE", "state": "optimized geometry", "lattice": [[-1.264, -6.188, 1.717], [5.931, -0.454, 2.731], [-4.698, 3.975, 10.866]], "species": ["Na", "Na", "Na", "Na", "Ce", "Ce", "Cl", "Cl", "Cl", "Cl", "Cl", "Cl", "Cl", "Cl", "Cl", "Cl", "Cl", "Cl"], "frac_coords": [[0.500, 0.500, 0.335], [0.500, 0.500, 0.665], [0.000, 0.000, 0.165], [0.000, 0.000, 0.835], [0.500, 0.500, 0.000], [0.000, 0.000, 0.500], [0.693, 0.693, 0.156], [0.693, 0.693, 0.844], [0.714, 0.714, 0.500], [0.786, 0.214, 0.000], [0.807, 0.193, 0.344], [0.807, 0.193, 0.656], [0.193, 0.807, 0.344], [0.193, 0.807, 0.656], [0.214, 0.786, 0.000], [0.286, 0.286, 0.500], [0.307, 0.307, 0.156], [0.307, 0.307, 0.844]], "space_group": "P4_2/mnm", "e_form_raw_ev_per_fu": -17.1}



Entry 12:
{"formula": "NaCeCl5", "functional": "PBE", "state": "optimized geometry", "lattice": [[-4.842, 5.321, 0.835], [-2.886, -0.310, 6.636], [3.666, 7.641, 6.181]], "species": ["Na", "Na", "Ce", "Ce", "Cl", "Cl", "Cl", "Cl", "Cl", "Cl", "Cl", "Cl", "Cl", "Cl"], "frac_coords": [[0.526, 0.474, 0.250], [0.474, 0.526, 0.750], [0.000, 0.000, 0.000], [0.000, 0.000, 0.500], [0.829, 0.697, 0.138], [0.245, 0.653, 0.467], [0.697, 0.829, 0.638], [0.892, 0.108, 0.250], [0.347, 0.755, 0.033], [0.653, 0.245, 0.967], [0.108, 0.892, 0.750], [0.303, 0.171, 0.362], [0.755, 0.347, 0.533], [0.171, 0.303, 0.862]], "space_group": "C2/c", "e_form_raw_ev_per_fu": -13.1}



Entry 13:
{"formula": "Na2CeCl2O2", "functional": "PBE", "state": "optimized geometry", "lattice": [[4.324, 0.000, 0.000], [0.000, 4.324, 0.000], [-2.162, -2.162, 7.820]], "species": ["Na", "Na", "Ce", "Cl", "Cl", "O", "O"], "frac_coords": [[0.364, 0.364, 0.728], [0.636, 0.636, 0.272], [0.000, 0.000, 0.000], [0.179, 0.179, 0.359], [0.821, 0.821, 0.641], [0.000, 0.500, 0.000], [0.500, 0.000, 0.000]], "n_ef_per_ev_cell": 0.0, "space_group": "I4/mmm", "e_form_raw_ev_per_fu": -16.1}



Entry 14:
{"formula": "NaCeClO2", "functional": "PBE", "state": "optimized geometry", "lattice": [[3.505, 0.000, 0.000], [0.000, 7.187, -0.808], [0.000, -1.942, 7.514]], "species": ["Na", "Na", "Ce", "Ce", "Cl", "Cl", "O", "O", "O", "O"], "frac_coords": [[0.750, 0.695, 0.710], [0.250, 0.305, 0.290], [0.750, 0.801, 0.320], [0.250, 0.199, 0.680], [0.750, 0.286, 0.022], [0.250, 0.714, 0.978], [0.250, 0.648, 0.379], [0.250, 0.023, 0.371], [0.750, 0.977, 0.629], [0.750, 0.352, 0.621]], "n_ef_per_ev_cell": 0.0, "space_group": "P2_1/m", "e_form_raw_ev_per_fu": -12.8}



Entry 15:
{"formula": "NaCePbCl6", "functional": "PBE", "state": "optimized geometry", "lattice": [[-1.756, -3.407, -6.032], [0.157, -3.557, 6.197], [-12.139, 2.834, 1.934]], "species": ["Na", "Na", "Ce", "Ce", "Pb", "Pb", "Cl", "Cl", "Cl", "Cl", "Cl", "Cl", "Cl", "Cl", "Cl", "Cl", "Cl", "Cl"], "frac_coords": [[0.333, 0.667, 0.250], [0.667, 0.333, 0.750], [0.667, 0.333, 0.250], [0.333, 0.667, 0.750], [0.000, 0.000, 0.000], [0.000, 0.000, 0.500], [0.661, 0.654, 0.129], [0.993, 0.339, 0.129], [0.339, 0.993, 0.629], [0.007, 0.661, 0.871], [0.346, 0.339, 0.371], [0.993, 0.654, 0.371], [0.654, 0.993, 0.871], [0.661, 0.007, 0.371], [0.007, 0.346, 0.629], [0.346, 0.007, 0.129], [0.654, 0.661, 0.629], [0.339, 0.346, 0.871]], "n_ef_per_ev_cell": 16.7, "space_group": "P-31c", "e_form_raw_ev_per_fu": -15.8}



Entry 16:
{"formula": "Na2CePmCl8", "functional": "PBE", "state": "optimized geometry", "lattice": [[-5.112, -3.955, -1.531], [2.037, 0.352, -6.182], [4.941, -6.866, 1.237]], "species": ["Na", "Na", "Ce", "Pm", "Cl", "Cl", "Cl", "Cl", "Cl", "Cl", "Cl", "Cl"], "frac_coords": [[0.500, 0.500, 0.753], [0.500, 0.500, 0.247], [0.000, 0.000, 0.500], [0.000, 0.000, 0.000], [0.173, 0.796, 0.246], [0.690, 0.718, 0.000], [0.827, 0.204, 0.246], [0.827, 0.204, 0.754], [0.310, 0.282, 0.000], [0.173, 0.796, 0.754], [0.687, 0.715, 0.500], [0.313, 0.285, 0.500]], "n_ef_per_ev_cell": 8.9, "space_group": "P2/m", "e_form_raw_ev_per_fu": -25.0}